1.
Below is Zn2Cu2Sb at its PBEsol-relaxed geometry, with properties calculated at the meta-GGA SCAN level.

POSCAR file:
```
Zn2Cu2Sb
1.0
-1.177 1.179 -3.195
-3.345 -1.033 0.851
1.203 5.315 3.550
Zn Cu Sb
2 2 1
direct
0.750 0.250 0.500 Zn
0.250 0.750 0.500 Zn
0.398 0.398 0.797 Cu
0.602 0.602 0.203 Cu
0.000 0.000 0.000 Sb
```

Output
E_form (uncorrected), meV per atom: 92
Energy, eV per atom: -18.846
D(E_F), states/eV/atom: 0.22

=====

2.
Below is ZnCuSb2 at its PBEsol-relaxed geometry, with properties calculated at the meta-GGA SCAN level.

POSCAR file:
```
ZnCuSb2
1.0
-2.268 -1.893 0.773
2.054 -2.736 -0.672
5.000 2.127 6.623
Sb Cu Zn
2 1 1
direct
0.541 0.000 0.264 Sb
0.459 0.000 0.736 Sb
0.000 0.500 0.500 Cu
0.500 0.500 0.000 Zn
```

Output
E_form (uncorrected), meV per atom: 209
Energy, eV per atom: -25.600
D(E_F), states/eV/atom: 0.39

=====

3.
Below is ZnCuSb2 at its PBEsol-relaxed geometry, with properties calculated at the meta-GGA SCAN level.

POSCAR file:
```
ZnCuSb2
1.0
4.380 0.000 0.000
0.000 4.561 0.065
0.000 -1.718 4.226
Sb Zn Cu
2 1 1
direct
0.500 0.662 0.338 Sb
0.000 0.092 0.908 Sb
0.000 0.450 0.550 Zn
0.500 0.291 0.709 Cu
```

Output
E_form (uncorrected), meV per atom: 45
Energy, eV per atom: -25.764
D(E_F), states/eV/atom: 0.33

=====

4.
Below is ZnCuSb2 at its PBEsol-relaxed geometry, with properties calculated at the meta-GGA SCAN level.

POSCAR file:
```
ZnCuSb2
1.0
3.205 0.000 0.000
0.000 3.205 0.000
0.000 0.000 7.723
Sb Cu Zn
2 1 1
direct
0.000 0.000 0.729 Sb
0.000 0.000 0.271 Sb
0.500 0.500 0.500 Cu
0.500 0.500 0.000 Zn
```

Output
E_form (uncorrected), meV per atom: 316
Energy, eV per atom: -25.493
D(E_F), states/eV/atom: 0.40